Computed, not measured: a geometry-optimized TbSm3Sn structure at the PBE level of DFT.

size of the total moment	0.00	μB/cell
raw total energy	-4.484	eV per atom
formation energy	74	meV per atom

```
data_TbSm3Sn
_chemical_formula_sum 'Tb2 Sm6 Sn2'
_space_group_name_H-M_alt 'P 1'
_space_group_IT_number 1
_cell_length_a 7.8713
_cell_length_b 7.8713
_cell_length_c 7.8713
_cell_angle_alpha 87.65
_cell_angle_beta 115.38
_cell_angle_gamma 127.76
loop_
_space_group_symop_operation_xyz
'x,y,z'
loop_
_atom_site_label
_atom_site_type_symbol
_atom_site_fract_x
_atom_site_fract_y
_atom_site_fract_z
Tb1 Tb 0.2448 0.2500 0.4948
Tb2 Tb 0.7552 0.7500 0.5052
Sm1 Sm 0.3222 0.0353 0.2307
Sm2 Sm 0.3222 0.5915 0.7869
Sm3 Sm 0.7184 0.0405 0.1779
Sm4 Sm 0.8046 0.0915 0.7693
Sm5 Sm 0.8046 0.5353 0.2131
Sm6 Sm 0.8626 0.5405 0.8221
Sn1 Sn 0.2227 0.5342 0.1885
Sn2 Sn 0.3457 0.0342 0.8115
```